# 1
{
  "formula": "MgInPb2Se5",
  "functional": "PBE",
  "state": "relaxed",
  "formation_energy_uncorrected_ev_per_atom": -0.5730,
  "crystal_system": "orthorhombic",
  "lattice": [[-0.6303, 2.3452, 3.3375], [-7.6718, -4.9364, -0.5325], [5.5773, -9.5018, 7.7300]],
  "species": ["Mg", "Mg", "In", "In", "Pb", "Pb", "Pb", "Pb", "Se", "Se", "Se", "Se", "Se", "Se", "Se", "Se", "Se", "Se"],
  "frac_coords": [[0.7731, 0.5463, 0.5326], [0.2269, 0.4537, 0.0326], [0.5584, 0.1169, 0.9379], [0.4416, 0.8831, 0.4379], [0.8519, 0.7038, 0.8014], [0.0961, 0.1923, 0.6469], [0.1481, 0.2962, 0.3014], [0.9039, 0.8077, 0.1469], [0.3766, 0.7531, 0.9956], [0.7077, 0.4153, 0.9081], [0.4987, 0.9973, 0.7646], [0.2667, 0.5334, 0.6777], [0.9353, 0.8706, 0.5592], [0.6234, 0.2469, 0.4956], [0.2923, 0.5847, 0.4081], [0.5013, 0.0027, 0.2646], [0.7333, 0.4666, 0.1777], [0.0647, 0.1294, 0.0592]]
}


# 2
{
  "formula": "Dy3ErHg4",
  "functional": "PBE",
  "state": "relaxed",
  "formation_energy_mev_per_atom": -479.4,
  "crystal_system": "tetragonal",
  "lattice": [[3.7124, 0.0000, 0.0000], [0.0000, 3.7124, 0.0000], [0.0000, 0.0000, 14.8791]],
  "species": ["Er", "Hg", "Hg", "Hg", "Hg", "Dy", "Dy", "Dy"],
  "frac_coords": [[0.5000, 0.5000, 0.0000], [0.0000, 0.0000, 0.8775], [0.0000, 0.0000, 0.1225], [0.0000, 0.0000, 0.3748], [0.0000, 0.0000, 0.6252], [0.5000, 0.5000, 0.2489], [0.5000, 0.5000, 0.5000], [0.5000, 0.5000, 0.7511]]
}


# 3
{
  "formula": "InTePbO5",
  "functional": "PBE",
  "state": "relaxed",
  "formation_energy_uncorrected_ev_per_atom": -1.0923,
  "crystal_system": "monoclinic",
  "lattice": [[6.2347, 0.2257, -0.2229], [-1.6041, 6.0290, -0.2229], [-2.1809, -2.9459, 7.2325]],
  "species": ["In", "In", "Te", "Te", "Pb", "Pb", "O", "O", "O", "O", "O", "O", "O", "O", "O", "O"],
  "frac_coords": [[0.0000, 0.0000, 0.5000], [0.0000, 0.0000, 0.0000], [0.7093, 0.2907, 0.2500], [0.2907, 0.7093, 0.7500], [0.2986, 0.7014, 0.2500], [0.7014, 0.2986, 0.7500], [0.0654, 0.9346, 0.2500], [0.9346, 0.0654, 0.7500], [0.8987, 0.3301, 0.0917], [0.1013, 0.6699, 0.9083], [0.6699, 0.1013, 0.4083], [0.3301, 0.8987, 0.5917], [0.7823, 0.6088, 0.4196], [0.2177, 0.3912, 0.5804], [0.3912, 0.2177, 0.0804], [0.6088, 0.7823, 0.9196]]
}


| no. | calculated total energy (eV per atom) |
| --- | --- |
| 1 | -3.8144 |
| 2 | -2.9264 |
| 3 | -5.3897 |